(1)
This record from Alexandria via LeMat-Bulk describes a relaxed structure of Pm4DyBi5. The functional is PBE.

Cell: 12.0530 12.0530 12.0530 Å, 158.18 148.99 38.24°
Last column: nearest neighbours and their distance in Å.
Fractional positions:
Pm1 0.0999 0.0999 0.0000  6 Bi 3.22-3.23
Pm2 0.3012 0.3012 0.0000  6 Bi 3.22-3.24
Pm3 0.6988 0.6988 0.0000  6 Bi 3.22-3.24
Pm4 0.9001 0.9001 0.0000  6 Bi 3.22-3.23
Dy1 0.5000 0.5000 0.0000  6 Bi 3.18-3.22
Bi1 0.0000 0.5000 0.5000  2 Dy 3.22, 4 Pm 3.22
Bi2 0.2005 0.7005 0.5000  6 Pm 3.22-3.24
Bi3 0.4026 0.9026 0.5000  2 Dy 3.18, 4 Pm 3.22-3.24
Bi4 0.5974 0.0974 0.5000  2 Dy 3.18, 4 Pm 3.22-3.24
Bi5 0.7995 0.2995 0.5000  6 Pm 3.22-3.24

Results
**Spin magnetization**: 0.000 μB/atom
**Energy of formation from the pure elements**: -89 kJ/mol of atoms
**Calculated total energy**: -5.22 eV per atom
**Space group**: No. 71

***

(2)
This record from Alexandria via LeMat-Bulk describes a relaxed structure of LaTa2P. The functional is PBE.

Cell: 9.8919 9.8919 9.8919 Å, 155.13 155.13 35.46°
Last column: nearest neighbours and their distance in Å.
Fractional positions:
La1 0.0000 0.0000 0.0000  4 Ta 2.90, 4 P 3.01
La2 0.7500 0.2500 0.5000  4 Ta 2.90, 4 P 3.01
Ta1 0.1842 0.6250 0.0592  2 Ta 2.68, 2 P 2.71, 2 La 2.90
Ta2 0.3750 0.4342 0.5592  2 Ta 2.68, 2 P 2.71, 2 La 2.90
Ta3 0.5658 0.1250 0.9408  2 Ta 2.68, 2 P 2.71, 2 La 2.90
Ta4 0.8750 0.8158 0.4408  2 Ta 2.68, 2 P 2.71, 2 La 2.90
P1 0.2500 0.7500 0.5000  4 Ta 2.71, 4 La 3.01
P2 0.5000 0.5000 0.0000  4 Ta 2.71, 4 La 3.01

Results
**Spin magnetization**: 0.000 μB/atom
**Energy of formation from the pure elements**: 20 kJ/mol of atoms
**Calculated total energy**: -8.30 eV per atom
**Space group**: No. 122

***

(3)
This record from Alexandria via LeMat-Bulk describes a relaxed structure of Cs2SnI4Br2. The functional is PBE.

Cell: 8.3162 8.3162 8.4283 Å, 120.23 120.23 60.22°
Last column: nearest neighbours and their distance in Å.
Fractional positions:
Cs1 0.2495 0.2495 0.2642  3 Br 3.88-4.18, 8 I 4.11-4.22
Cs2 0.7505 0.7505 0.7358  3 Br 3.88-4.18, 8 I 4.11-4.22
Sn1 0.0000 0.0000 0.5000  2 Br 2.68, 4 I 2.90
I1 0.2322 0.7420 0.2443  1 Sn 2.90
I2 0.2580 0.7678 0.7557  1 Sn 2.90
I3 0.7420 0.2322 0.2443  1 Sn 2.90
I4 0.7678 0.2580 0.7557  1 Sn 2.90
Br1 0.2287 0.2287 0.7030  1 Sn 2.68
Br2 0.7713 0.7713 0.2970  1 Sn 2.68

Results
**Energy relative to the elements, uncorrected**: -1.01 eV/atom
**Spin magnetization**: 0.000 μB/atom
**Calculated total energy**: -2.71 eV per atom
**Space group**: No. 12

***

(4)
This record from Alexandria via LeMat-Bulk describes a relaxed structure of ReB2TeSe. The functional is PBE.

Cell: 4.3397 4.3397 5.3290 Å, 90.00 90.00 90.00°
Last column: nearest neighbours and their distance in Å.
Fractional positions:
Re1 0.0000 0.0000 0.0000  2 Te 2.66
B1 0.0000 0.5000 0.5000  2 Te 2.17
B2 0.5000 0.0000 0.5000  2 Te 2.17
Te1 0.0000 0.0000 0.5000  4 B 2.17
Se1 0.5000 0.5000 0.0000  4 Re 3.07, 8 B 3.44

Results
**Energy relative to the elements, uncorrected**: 2.33 eV/atom
**Spin magnetization**: 0.459 μB/atom
**Calculated total energy**: -4.16 eV per atom
**Space group**: No. 123